Compound: CsCr2FeF8
Source: the Alexandria database
Functional: PBE+U
Structure: optimized geometry

```
CsCr2FeF8
1.0
4.8793 0.0000 0.0000
-0.3151 4.8958 0.0000
-0.0699 -0.3249 8.4887
Cs Cr Fe F
1 2 1 8
Direct
0.0000 0.0000 0.0000 Cs
0.4867 0.4933 0.3156 Cr
0.5133 0.5067 0.6844 Cr
0.0000 0.0000 0.5000 Fe
0.2280 0.1687 0.3278 F
0.2305 0.2066 0.6855 F
0.2916 0.6705 0.5096 F
0.3208 0.5819 0.1252 F
0.6792 0.4181 0.8748 F
0.7084 0.3295 0.4904 F
0.7695 0.7934 0.3145 F
0.7720 0.8313 0.6722 F
```

Computed properties:
Symmetry: P-1, No. 2
Final energy in eV/atom: -5.580